# PBE-GGA BeTlAs2, optimized geometry
# **E**: -3.60 eV per atom
# **Excess energy over the best structure of this formula in the dataset**: 256 meV per atom
# **Calculated volume**: 83.0 Å³/cell
# **Symmetry**: P4/mmm, No. 123
# **ΔH_f (0 K)**: 0.243 eV/atom
data_BeTlAs2
_cell_length_a 3.2874
_cell_length_b 3.2877
_cell_length_c 7.6808
_cell_angle_alpha 90.00
_cell_angle_beta 90.00
_cell_angle_gamma 90.00
_symmetry_space_group_name_H-M 'P 1'
_symmetry_Int_Tables_number 1
loop_
_symmetry_equiv_pos_as_xyz
'x,y,z'
loop_
_atom_site_label
_atom_site_type_symbol
_atom_site_fract_x
_atom_site_fract_y
_atom_site_fract_z
_atom_site_occupancy
As1 As 0.0000 0.0000 0.4078 1
Be1 Be 0.5000 0.5000 0.2500 1
As2 As 0.0000 0.0000 0.0922 1
Tl1 Tl 0.5000 0.5000 0.7500 1

---

# PBE-GGA BaBi7Pd5, optimized geometry
# **E**: -4.52 eV per atom
# **Calculated volume**: 328.0 Å³/cell
# **Symmetry**: Imm2, No. 44
# **ΔH_f (0 K)**: -0.282 eV/atom
data_BaBi7Pd5
_cell_length_a 6.1368
_cell_length_b 7.9293
_cell_length_c 7.9293
_cell_angle_alpha 80.43
_cell_angle_beta 67.23
_cell_angle_gamma 67.23
_symmetry_space_group_name_H-M 'P 1'
_symmetry_Int_Tables_number 1
loop_
_symmetry_equiv_pos_as_xyz
'x,y,z'
loop_
_atom_site_label
_atom_site_type_symbol
_atom_site_fract_x
_atom_site_fract_y
_atom_site_fract_z
_atom_site_occupancy
Bi1 Bi 0.3307 0.6693 0.6693 1
Bi2 Bi 0.5326 0.7800 0.1548 1
Pd1 Pd 0.7343 0.7657 0.7657 1
Bi3 Bi 0.9644 0.6939 0.3772 1
Pd2 Pd 0.0118 0.4913 0.9968 1
Pd3 Pd 0.5001 0.9968 0.4913 1
Pd4 Pd 0.0118 0.9968 0.4913 1
Ba1 Ba 0.9968 0.0032 0.0032 1
Bi4 Bi 0.2697 0.2303 0.2303 1
Bi5 Bi 0.9644 0.3772 0.6939 1
Bi6 Bi 0.6506 0.3494 0.3494 1
Bi7 Bi 0.5326 0.1548 0.7800 1
Pd5 Pd 0.5001 0.4913 0.9968 1

---

# PBE-GGA KSe2N, optimized geometry
# **E**: -3.13 eV per atom
# **Calculated volume**: 94.0 Å³/cell
# **Symmetry**: R-3m, No. 166
# **Energy relative to the elements, uncorrected**: 0.97 eV/atom
data_KSe2N
_cell_length_a 8.9462
_cell_length_b 8.9462
_cell_length_c 8.9462
_cell_angle_alpha 22.75
_cell_angle_beta 22.75
_cell_angle_gamma 22.75
_symmetry_space_group_name_H-M 'P 1'
_symmetry_Int_Tables_number 1
loop_
_symmetry_equiv_pos_as_xyz
'x,y,z'
loop_
_atom_site_label
_atom_site_type_symbol
_atom_site_fract_x
_atom_site_fract_y
_atom_site_fract_z
_atom_site_occupancy
K1 K 0.0000 0.0000 0.0000 1
Se1 Se 0.8822 0.8822 0.8822 1
Se2 Se 0.1178 0.1178 0.1178 1
N1 N 0.5000 0.5000 0.5000 1

---

# PBE-GGA Ac2ScCuPd6, optimized geometry
# **E**: -5.51 eV per atom
# **Calculated volume**: 236.6 Å³/cell
# **Symmetry**: R-3m, No. 166
# **ΔH_f (0 K)**: -0.529 eV/atom
data_Ac2ScCuPd6
_cell_length_a 5.8579
_cell_length_b 8.6504
_cell_length_c 8.6532
_cell_angle_alpha 39.57
_cell_angle_beta 70.18
_cell_angle_gamma 89.96
_symmetry_space_group_name_H-M 'P 1'
_symmetry_Int_Tables_number 1
loop_
_symmetry_equiv_pos_as_xyz
'x,y,z'
loop_
_atom_site_label
_atom_site_type_symbol
_atom_site_fract_x
_atom_site_fract_y
_atom_site_fract_z
_atom_site_occupancy
Cu1 Cu 0.5000 0.5000 0.0000 1
Pd1 Pd 0.7557 0.7476 0.9910 1
Pd2 Pd 0.2522 0.2440 0.4945 1
Pd3 Pd 0.2523 0.7474 0.9908 1
Pd4 Pd 0.7477 0.2526 0.0092 1
Pd5 Pd 0.7478 0.7560 0.5055 1
Pd6 Pd 0.2443 0.2524 0.0090 1
Ac1 Ac 0.7862 0.2136 0.4269 1
Ac2 Ac 0.2138 0.7864 0.5731 1
Sc1 Sc 0.0000 0.0000 0.0000 1

---

# PBE-GGA YPaNiAu, optimized geometry
# **E**: -6.52 eV per atom
# **Calculated volume**: 86.9 Å³/cell
# **Symmetry**: F-43m, No. 216
# **ΔH_f (0 K)**: -0.262 eV/atom
data_YPaNiAu
_cell_length_a 4.9713
_cell_length_b 4.9713
_cell_length_c 4.9713
_cell_angle_alpha 60.00
_cell_angle_beta 60.00
_cell_angle_gamma 60.00
_symmetry_space_group_name_H-M 'P 1'
_symmetry_Int_Tables_number 1
loop_
_symmetry_equiv_pos_as_xyz
'x,y,z'
loop_
_atom_site_label
_atom_site_type_symbol
_atom_site_fract_x
_atom_site_fract_y
_atom_site_fract_z
_atom_site_occupancy
Pa1 Pa 0.7500 0.7500 0.7500 1
Au1 Au 0.5000 0.5000 0.5000 1
Ni1 Ni 0.0000 0.0000 0.0000 1
Y1 Y 0.2500 0.2500 0.2500 1

---

# PBE-GGA Ca3Ni2Sn7, optimized geometry
# **E**: -4.15 eV per atom
# **Calculated volume**: 305.4 Å³/cell
# **Symmetry**: P2/m, No. 10
# **ΔH_f (0 K)**: -0.347 eV/atom
data_Ca3Ni2Sn7
_cell_length_a 4.6712
_cell_length_b 5.5886
_cell_length_c 12.1016
_cell_angle_alpha 104.81
_cell_angle_beta 90.00
_cell_angle_gamma 90.00
_symmetry_space_group_name_H-M 'P 1'
_symmetry_Int_Tables_number 1
loop_
_symmetry_equiv_pos_as_xyz
'x,y,z'
loop_
_atom_site_label
_atom_site_type_symbol
_atom_site_fract_x
_atom_site_fract_y
_atom_site_fract_z
_atom_site_occupancy
Ca1 Ca 0.5000 0.3190 0.6188 1
Sn1 Sn 0.0000 0.2230 0.4082 1
Sn2 Sn 0.0000 0.0000 0.0000 1
Ca2 Ca 0.5000 0.6810 0.3812 1
Ni1 Ni 0.0000 0.3105 0.2001 1
Ni2 Ni 0.0000 0.6895 0.7999 1
Sn3 Sn 0.0000 0.7574 0.2042 1
Ca3 Ca 0.5000 0.5000 0.0000 1
Sn4 Sn 0.5000 0.1233 0.1975 1
Sn5 Sn 0.0000 0.2426 0.7958 1
Sn6 Sn 0.0000 0.7770 0.5918 1
Sn7 Sn 0.5000 0.8767 0.8025 1

---

# PBE-GGA NaVIr2Rh, optimized geometry
# **E**: -6.34 eV per atom
# **Excess energy over the best structure of this formula in the dataset**: 0 meV per atom
# **Calculated volume**: 95.3 Å³/cell
# **Symmetry**: P4/mmm, No. 123
# **ΔH_f (0 K)**: 0.767 eV/atom
data_NaVIr2Rh
_cell_length_a 4.5709
_cell_length_b 4.5620
_cell_length_c 4.5709
_cell_angle_alpha 90.00
_cell_angle_beta 90.00
_cell_angle_gamma 90.00
_symmetry_space_group_name_H-M 'P 1'
_symmetry_Int_Tables_number 1
loop_
_symmetry_equiv_pos_as_xyz
'x,y,z'
loop_
_atom_site_label
_atom_site_type_symbol
_atom_site_fract_x
_atom_site_fract_y
_atom_site_fract_z
_atom_site_occupancy
V1 V 0.0000 0.0000 0.0000 1
Ir1 Ir 0.0000 0.0000 0.5000 1
Rh1 Rh 0.0000 0.5000 0.0000 1
Ir2 Ir 0.5000 0.0000 0.0000 1
Na1 Na 0.5000 0.5000 0.5000 1

---

# PBE-GGA Er4ZrSb5, optimized geometry
# **E**: -5.72 eV per atom
# **Calculated volume**: 282.1 Å³/cell
# **Symmetry**: I4/mmm, No. 139
# **Energy relative to the elements, uncorrected**: -0.98 eV/atom
data_Er4ZrSb5
_cell_length_a 4.3057
_cell_length_b 4.3057
_cell_length_c 15.5206
_cell_angle_alpha 97.97
_cell_angle_beta 97.97
_cell_angle_gamma 90.00
_symmetry_space_group_name_H-M 'P 1'
_symmetry_Int_Tables_number 1
loop_
_symmetry_equiv_pos_as_xyz
'x,y,z'
loop_
_atom_site_label
_atom_site_type_symbol
_atom_site_fract_x
_atom_site_fract_y
_atom_site_fract_z
_atom_site_occupancy
Er1 Er 0.1987 0.1987 0.3973 1
Sb1 Sb 0.5000 0.5000 0.0000 1
Er2 Er 0.4007 0.4007 0.8014 1
Zr1 Zr 0.0000 0.0000 0.0000 1
Er3 Er 0.5993 0.5993 0.1986 1
Sb2 Sb 0.7000 0.7000 0.3999 1
Er4 Er 0.8013 0.8013 0.6027 1
Sb3 Sb 0.0974 0.0974 0.1948 1
Sb4 Sb 0.3000 0.3000 0.6001 1
Sb5 Sb 0.9026 0.9026 0.8052 1